VASP calculation (PBE) on a relaxed Ba2SrHg2 crystal.

Cell lengths 9.5136, 9.5136, 4.5767 Å; angles 90.00, 90.00, 90.00 degrees
Closest atoms and distances in Å follow each position.
Space group P4/mbm (No. 127)
Asymmetric unit:
1 Ba 0.1516 0.3484 0.0000 x4  6 Hg 3.58-3.63
2 Sr 0.0000 0.0000 0.5000 x2  4 Hg 3.65
3 Hg 0.1440 0.6440 0.5000 x4  6 Ba 3.58-3.63, 2 Sr 3.65, 1 Hg 3.87

Calculated values
- Formation enthalpy at 0 K: -2.08 eV/f.u.
- DFT total energy: -16.42 eV per cell

VASP calculation (PBE) on a relaxed RbTmUSe4 crystal.

Cell lengths 8.7721, 8.9536, 12.2505 Å; angles 90.00, 90.00, 90.00 degrees
Closest atoms and distances in Å follow each position.
Space group Imma (No. 74)
Asymmetric unit:
1 Rb 0.0000 0.2500 0.1312 x4  4 Se 3.14-3.15
2 Tm 0.2500 0.2500 0.7500 x4  6 Se 2.87-2.88
3 U 0.0000 0.0000 0.5000 x4  6 Se 2.85-2.88
4 Se 0.0000 0.0451 0.7305 x8  1 U 2.85, 2 Tm 2.87, 1 Rb 3.14
5 Se 0.2060 0.2500 0.5170 x8  1 Tm 2.88, 2 U 2.88, 1 Rb 3.15

Calculated values
- DFT total energy: -161.38 eV per cell
- Formation energy without anion corrections: -9.68 eV per formula unit

VASP calculation (PBE) on a relaxed CeHo2ZrN4 crystal.

Cell lengths 5.9158, 3.4228, 5.9510 Å; angles 90.00, 109.22, 90.00 degrees
Closest atoms and distances in Å follow each position.
Space group P2/m (No. 10)
Asymmetric unit:
1 Ce 0.0000 0.0000 0.0000 x1  6 N 2.43-2.44
2 Ho 0.5000 0.0000 0.5000 x1  6 N 2.41
3 Ho 0.5000 0.5000 0.0000 x1  6 N 2.48-2.49
4 Zr 0.0000 0.5000 0.5000 x1  6 N 2.35-2.37
5 N 0.2395 0.0000 0.7379 x2  2 Zr 2.37, 3 Ho 2.41-2.48, 1 Ce 2.43
6 N 0.2460 0.5000 0.2610 x2  1 Zr 2.35, 3 Ho 2.41-2.49, 2 Ce 2.44

Calculated values
- DFT total energy: -70.25 eV per cell
- Formation energy without anion corrections: -13.31 eV per formula unit

VASP calculation (PBE) on a relaxed Co2SiNi crystal.

Cell lengths 8.3396, 2.5957, 4.1556 Å; angles 90.00, 105.97, 90.00 degrees
Closest atoms and distances in Å follow each position.
Space group Cm (No. 8)
Asymmetric unit:
1 Co 0.0000 0.0000 0.0000 x2  2 Si 2.37, 4 Ni 2.44-2.47, 5 Co 2.45-2.60
2 Co 0.2443 0.0000 0.7825 x2  4 Si 2.44-2.46, 5 Co 2.45-2.60, 3 Ni 2.55-2.58
3 Si 0.2353 0.5000 0.2794 x2  3 Ni 2.35-2.54, 6 Co 2.37-2.46, 2 Si 2.60
4 Ni 0.4769 0.0000 0.4911 x2  3 Si 2.35-2.54, 7 Co 2.44-2.58, 2 Ni 2.60

Calculated values
- DFT total energy: -52.90 eV per cell
- Formation energy without anion corrections: -1.03 eV per formula unit

VASP calculation (PBE) on a relaxed Sr2PmNdS4 crystal.

Cell lengths 7.1262, 4.1203, 7.2927 Å; angles 90.00, 109.05, 90.00 degrees
Closest atoms and distances in Å follow each position.
Space group P2/m (No. 10)
Asymmetric unit:
1 Sr 0.0000 0.0000 0.0000 x1  6 S 2.97
2 Sr 0.5000 0.5000 0.0000 x1  6 S 2.99
3 Pm 0.0000 0.5000 0.5000 x1  6 S 2.89
4 Nd 0.5000 0.0000 0.5000 x1  6 S 2.90
5 S 0.2450 0.0000 0.7389 x2  2 Pm 2.89, 1 Nd 2.90, 3 Sr 2.97-2.99
6 S 0.2517 0.5000 0.2600 x2  1 Pm 2.89, 2 Nd 2.90, 3 Sr 2.97-2.99

Calculated values
- DFT total energy: -45.81 eV per cell
- Formation energy without anion corrections: -16.42 eV per formula unit

VASP calculation (PBE) on a relaxed VCuSn2 crystal.

Cell lengths 7.4225, 7.4225, 5.9723 Å; angles 90.00, 90.00, 90.00 degrees
Closest atoms and distances in Å follow each position.
Space group I-42d (No. 122)
Asymmetric unit:
1 V 0.0000 0.0000 0.0000 x4  4 Sn 2.87, 2 Cu 2.99
2 Cu 0.0000 0.0000 0.5000 x4  4 Sn 2.60
3 Sn 0.2233 0.2500 0.6250 x8  2 Cu 2.60, 2 V 2.87

Calculated values
- Formation enthalpy at 0 K: 1.79 eV/f.u.
- DFT total energy: -77.72 eV per cell

VASP calculation (PBE) on a relaxed Zr2AsPt2 crystal.

Cell lengths 7.5740, 7.5740, 3.4600 Å; angles 90.00, 90.00, 90.00 degrees
Closest atoms and distances in Å follow each position.
Space group P4/mbm (No. 127)
Asymmetric unit:
1 Zr 0.1694 0.3306 0.0000 x4  6 Pt 2.77-2.86, 2 As 2.81
2 As 0.0000 0.0000 0.0000 x2  4 Zr 2.81
3 Pt 0.1286 0.6286 0.5000 x4  1 Pt 2.75, 6 Zr 2.77-2.86

Calculated values
- Formation enthalpy at 0 K: -3.92 eV/f.u.
- DFT total energy: -75.50 eV per cell

VASP calculation (PBE) on a relaxed SrZn2In2 crystal.

Cell lengths 8.1057, 8.1057, 3.8230 Å; angles 90.00, 90.00, 90.00 degrees
Closest atoms and distances in Å follow each position.
Space group P4/mbm (No. 127)
Asymmetric unit:
1 Sr 0.0000 0.0000 0.0000 x2  4 Zn 3.26, 8 In 3.53
2 Zn 0.1142 0.3858 0.0000 x4  1 Zn 2.62
3 In 0.1812 0.6812 0.5000 x4  6 Zn 3.03-3.11

Calculated values
- Formation enthalpy at 0 K: -0.55 eV/f.u.
- DFT total energy: -20.51 eV per cell

The highest DFT total energy belongs to which entry? Ba2SrHg2